1.
Here is an optimized crystal structure of Pm3Dy3Cd2 from the Alexandria database. Energies are from PBE.

extended XYZ file:
```
16
Lattice="-5.158 1.219 -0.071 1.309 -6.084 -1.734 -1.284 -4.558 15.021" Properties=species:S:1:pos:R:3 pbc="T T T"
Pm -4.257 -6.240 4.236
Pm -1.244 -4.488 13.282
Pm -3.889 -4.934 -0.066
Pm -0.876 -3.183 8.979
Pm -3.495 -3.093 2.891
Pm -1.639 -6.330 10.324
Dy -3.541 -3.083 6.458
Dy -2.147 -8.309 13.248
Dy -2.986 -1.113 -0.033
Dy -1.592 -6.340 6.758
Dy -1.477 -6.121 2.145
Dy -3.657 -3.301 11.071
Cd -4.369 -6.261 12.007
Cd -1.059 -4.207 4.657
Cd -4.074 -5.215 8.559
Cd -0.764 -3.161 1.209
```

Computed properties:
Its space-group type is Cmcm. The energy of formation comes out at -67 meV/atom. The volume comes out at 246 Å³/f.u.

***

2.
Here is an optimized crystal structure of Rb3YHo3Te8 from the Alexandria database. Energies are from PBE.

extended XYZ file:
```
15
Lattice="-7.164 3.747 3.443 4.074 -6.486 4.315 4.761 9.014 0.098" Properties=species:S:1:pos:R:3 pbc="T T T"
Rb 0.000 0.000 0.000
Rb 2.037 -3.243 2.158
Rb -1.545 -1.369 3.879
Y 2.381 4.507 0.049
Ho -1.202 6.381 1.770
Ho 0.835 3.138 3.928
Ho 4.417 1.264 2.206
Te 1.694 0.249 3.251
Te -0.024 6.026 4.605
Te -1.890 2.139 4.952
Te 3.560 4.137 2.904
Te -3.905 5.348 2.816
Te 5.576 0.928 5.040
Te -0.361 3.494 1.112
Te 2.031 2.782 6.744
```

Computed properties:
Its space-group type is R-3m. The volume comes out at 591 Å³/f.u. The uncorrected formation energy is -1.3162 eV/atom.